1.
This record from Alexandria via LeMat-Bulk describes KZnAs2 after structural relaxation. The functional is PBE.

a = 4.3281 Å, b = 4.3281 Å, c = 9.6744 Å
α = 90.00°, β = 90.00°, γ = 90.00°
Last column: nearest neighbours and their distance in Å.
Space group I4/mmm (No. 139)
Unique sites:
1 K 0.0000 0.0000 0.0000 [2 per cell]  4 Zn 3.06, 8 As 3.25
2 Zn 0.0000 0.0000 0.5000 [2 per cell]  4 K 3.06, 8 As 3.25
3 As 0.0000 0.5000 0.2500 [4 per cell]  4 As 3.06, 4 K 3.25, 4 Zn 3.25

**Size of the total moment**: 0.00 μB/f.u.
**Uncorrected energy**: -21.6 eV/cell
**DFT formation energy**: 0.221 eV/atom

---

2.
This record from Alexandria via LeMat-Bulk describes KZnAs2 after structural relaxation. The functional is PBE.

a = 3.2085 Å, b = 3.2085 Å, c = 8.6737 Å
α = 90.00°, β = 90.00°, γ = 90.00°
Last column: nearest neighbours and their distance in Å.
Space group P4/mmm (No. 123)
Unique sites:
1 K 0.0000 0.0000 0.0000 [1 per cell]  4 K 3.21, 8 As 3.47
2 Zn 0.0000 0.0000 0.5000 [1 per cell]  8 As 2.84
3 As 0.5000 0.5000 0.3027 [2 per cell]  4 Zn 2.84

**Size of the total moment**: 0.00 μB/f.u.
**Uncorrected energy**: -11.3 eV/cell
**DFT formation energy**: 0.088 eV/atom

---

3.
This record from Alexandria via LeMat-Bulk describes KZn2As after structural relaxation. The functional is PBE.

a = 3.1981 Å, b = 4.8525 Å, c = 5.8741 Å
α = 90.00°, β = 90.00°, γ = 90.00°
Last column: nearest neighbours and their distance in Å.
Space group Pmmm (No. 47)
Unique sites:
1 K 0.0000 0.0000 0.0000 [1 per cell]  2 K 3.20, 8 Zn 3.30, 4 As 3.34
2 Zn 0.5000 0.5000 0.2676 [2 per cell]  1 Zn 2.73, 2 As 2.78
3 As 0.5000 0.0000 0.5000 [1 per cell]  4 Zn 2.78

**Size of the total moment**: 0.00 μB/f.u.
**Uncorrected energy**: -8.0 eV/cell
**DFT formation energy**: 0.074 eV/atom

---

4.
This record from Alexandria via LeMat-Bulk describes KZn2As after structural relaxation. The functional is PBE.

a = 5.6810 Å, b = 2.7702 Å, c = 6.2851 Å
α = 90.00°, β = 115.98°, γ = 90.00°
Last column: nearest neighbours and their distance in Å.
Space group P2/m (No. 10)
Unique sites:
1 K 0.0000 0.0000 0.0000 [1 per cell]  2 K 2.77
2 Zn 0.0000 0.5000 0.5000 [1 per cell]  2 Zn 2.77
3 Zn 0.5000 0.0000 0.5000 [1 per cell]  2 Zn 2.77
4 As 0.5000 0.5000 0.0000 [1 per cell]  2 As 2.77

**Size of the total moment**: 0.00 μB/f.u.
**Uncorrected energy**: -7.4 eV/cell
**DFT formation energy**: 0.212 eV/atom